No. 1
# PRhAu, relaxed, DFT PBE
# Formation energy from the elements   -127.6 meV per atom
# Final energy   -5.474 eV per atom
data_PRhAu
_cell_length_a 3.081
_cell_length_b 3.081
_cell_length_c 9.860
_cell_angle_alpha 90.00
_cell_angle_beta 90.00
_cell_angle_gamma 90.00
_symmetry_space_group_name_H-M 'I 4 m m'
_symmetry_Int_Tables_number 107
_symmetry_space_group_name_Hall 'I 4 -2'
loop_
_atom_site_label
_atom_site_fract_x
_atom_site_fract_y
_atom_site_fract_z
P1 0.000 0.000 0.000
Rh1 0.000 0.000 0.602
Au1 0.000 0.000 0.305

No. 2
# TbCeAs, relaxed, DFT PBE
# Formation energy from the elements   -763.5 meV per atom
# Final energy   -5.835 eV per atom
data_TbCeAs
_cell_length_a 3.9790
_cell_length_b 3.9790
_cell_length_c 6.6233
_cell_angle_alpha 90.00
_cell_angle_beta 90.00
_cell_angle_gamma 120.00
_symmetry_space_group_name_H-M 'P 3 m 1'
_symmetry_Int_Tables_number 156
loop_
_symmetry_equiv_pos_as_xyz
'x,y,z'
'-y,x-y,z'
'-x+y,-x,z'
'-y,-x,z'
'-x+y,y,z'
'x,x-y,z'
loop_
_atom_site_label
_atom_site_fract_x
_atom_site_fract_y
_atom_site_fract_z
Tb1 0.0000 0.0000 0.0000
Ce1 0.3333 0.6667 0.5303
As1 0.6667 0.3333 0.2610

No. 3
# NaEuMgHg, relaxed, DFT PBE
# Formation energy from the elements   -177.5 meV per atom
# Final energy   -3.550 eV per atom
data_NaEuMgHg
_cell_length_a 7.571
_cell_length_b 7.571
_cell_length_c 7.571
_cell_angle_alpha 90.00
_cell_angle_beta 90.00
_cell_angle_gamma 90.00
_symmetry_space_group_name_H-M 'F -4 3 m'
_symmetry_Int_Tables_number 216
_symmetry_space_group_name_Hall 'F -4 2 3'
loop_
_atom_site_label
_atom_site_fract_x
_atom_site_fract_y
_atom_site_fract_z
Na1 0.000 0.000 0.000
Eu1 0.250 0.250 0.250
Mg1 0.250 0.250 0.750
Hg1 0.000 0.000 0.500